First-principles (PBE) data for a relaxed structure of SmGe2PtRh2, as listed in the Alexandria database.

## Properties
**Space-group type**: P4/mmm, No. 123
**Volume**: 122 Å³/cell
**Spin magnetization**: 0.000 μB/atom
**Final energy**: -6.003 eV/atom
**Energy of formation from the pure elements**: -0.22 eV per atom

Lattice parameters (Å, degrees): 4.6678 4.6678 5.5905 90.00 90.00 90.00
With the nearest neighbours (Å) after each atom.
Fractional coordinates of all 6 atoms:
Rh: 0.5000 0.5000 0.7441  2 Rh 2.73-2.86, 4 Ge 2.74
Rh: 0.5000 0.5000 0.2559  2 Rh 2.73-2.86, 4 Ge 2.74
Ge: 0.0000 0.5000 0.0000  2 Pt 2.33
Ge: 0.5000 0.0000 0.0000  2 Pt 2.33
Pt: 0.0000 0.0000 0.0000  4 Ge 2.33
Sm: 0.0000 0.0000 0.5000  2 Pt 2.80